The following is a DFT calculation (PBE with a Hubbard U) of Cr3O after structural relaxation.

Summary:
- Volume: 17.20 A^3/atom
- DFT total energy: -6.78 eV per atom
- Fermi-level density of states: 0.5627 states/eV per atom

Unit cell a=5.5571 b=5.5571 c=15.4371 alpha=90.00 beta=90.00 gamma=120.00
Last column: nearest neighbours and their distance in Å.
Space group R-3c (No. 167, hexagonal axes)
Unique sites:
Cr 0.0000 0.3650 0.2500 [18 per cell]  2 O 2.19
O 0.0000 0.0000 0.0000 [6 per cell]  6 Cr 2.19

=====

The following is a DFT calculation (PBE with a Hubbard U) of CrO4 after structural relaxation.

Summary:
- Volume: 10.63 A^3/atom
- DFT total energy: -5.49 eV per atom
- Fermi-level density of states: 0.6251 states/eV per atom

Unit cell a=3.7601 b=3.7601 c=3.7601 alpha=90.00 beta=90.00 gamma=90.00
Last column: nearest neighbours and their distance in Å.
Space group Pm-3m (No. 221)
Unique sites:
Cr 0.0000 0.0000 0.0000 [1 per cell]  6 O 1.88
O 0.0000 0.0000 0.5000 [3 per cell]  2 Cr 1.88
O 0.5000 0.5000 0.5000 [1 per cell]  12 O 2.66

=====

The following is a DFT calculation (PBE with a Hubbard U) of Cr2O5 after structural relaxation.

Summary:
- Volume: 16.17 A^3/atom
- DFT total energy: -6.76 eV per atom
- Fermi-level density of states: 0.1527 states/eV per atom

Unit cell a=7.1123 b=10.2284 c=3.1123 alpha=90.00 beta=90.00 gamma=90.00
Last column: nearest neighbours and their distance in Å.
Space group Pbam (No. 55)
Unique sites:
Cr 0.1950 0.1066 0.0000 [4 per cell]  2 O 1.60-1.76
O 0.0000 0.0000 0.0000 [2 per cell]  2 Cr 1.76
O 0.1249 0.2550 0.0000 [4 per cell]  1 Cr 1.60
O 0.1875 0.5733 0.5000 [4 per cell]  2 Cr 1.80